Version a
A plane-wave DFT calculation with PBE was carried out for a relaxed HPt3Se crystal.

a b c (Å): 4.7119 4.7119 4.7119
angles (deg): 90.00 90.00 90.00
Closest atoms and distances in Å follow each position.
Fractional coordinates of all 5 atoms:
H: 0.0000 0.0000 0.0000  12 Pt 3.33
Pt: 0.0000 0.5000 0.5000  2 Se 2.36
Pt: 0.5000 0.0000 0.5000  2 Se 2.36
Pt: 0.5000 0.5000 0.0000  2 Se 2.36
Se: 0.5000 0.5000 0.5000  6 Pt 2.36

Values from the calculation:
Its volume is 20.92 A^3/atom. The space group is Pm-3m (221). As for the total magnetic moment: 0.89 Bohr magnetons per cell.

Version b
A plane-wave DFT calculation with PBE was carried out for a relaxed HPt3Se crystal.

a b c (Å): 4.1086 4.1086 4.1086
angles (deg): 90.00 90.00 90.00
Closest atoms and distances in Å follow each position.
Fractional coordinates of all 5 atoms:
H: 0.0000 0.0000 0.0000  6 Pt 2.05
Pt: 0.0000 0.0000 0.5000  2 H 2.05
Pt: 0.0000 0.5000 0.0000  2 H 2.05
Pt: 0.5000 0.0000 0.0000  2 H 2.05
Se: 0.5000 0.5000 0.5000  12 Pt 2.91

Values from the calculation:
Its volume is 13.87 A^3/atom. The space group is Pm-3m (221). As for the total magnetic moment: 0.00 Bohr magnetons per cell.

In meV/atom, relative to the most stable structure: version a 877; version b 0.

Version a
A plane-wave DFT calculation with PBE was carried out for a relaxed H2PtSe2 crystal.

a b c (Å): 3.4438 3.4438 21.4945
angles (deg): 90.00 90.00 120.00
Closest atoms and distances in Å follow each position.
Fractional coordinates of all 15 atoms:
H: 0.0000 0.0000 0.2279  3 Se 2.08
H: 0.0000 0.0000 0.7721  3 Se 2.08
H: 0.3333 0.6667 0.4388  3 Se 2.08
H: 0.3333 0.6667 0.8945  3 Se 2.08
H: 0.6667 0.3333 0.1055  3 Se 2.08
H: 0.6667 0.3333 0.5612  3 Se 2.08
Pt: 0.0000 0.0000 0.0000  6 Se 2.59
Pt: 0.3333 0.6667 0.6667  6 Se 2.59
Pt: 0.6667 0.3333 0.3333  6 Se 2.59
Se: 0.0000 0.0000 0.4105  3 H 2.08
Se: 0.0000 0.0000 0.5895  3 H 2.08
Se: 0.3333 0.6667 0.0771  3 H 2.08
Se: 0.3333 0.6667 0.2562  3 H 2.08
Se: 0.6667 0.3333 0.7438  3 H 2.08
Se: 0.6667 0.3333 0.9229  3 H 2.08

Values from the calculation:
Its volume is 14.72 A^3/atom. The space group is R-3m (166). As for the total magnetic moment: 0.00 Bohr magnetons per cell.

Version b
A plane-wave DFT calculation with PBE was carried out for a relaxed H2PtSe2 crystal.

a b c (Å): 6.8079 6.8079 3.3394
angles (deg): 90.00 90.00 90.00
Closest atoms and distances in Å follow each position.
Fractional coordinates of all 10 atoms:
H: 0.1217 0.3783 0.0000  2 Se 1.75
H: 0.3783 0.8783 0.0000  2 Se 1.75
H: 0.6217 0.1217 0.0000  2 Se 1.75
H: 0.8783 0.6217 0.0000  2 Se 1.75
Pt: 0.0000 0.0000 0.5000  4 Se 2.51
Pt: 0.5000 0.5000 0.5000  4 Se 2.51
Se: 0.1763 0.3237 0.5000  2 H 1.75
Se: 0.3237 0.8237 0.5000  2 H 1.75
Se: 0.6763 0.1763 0.5000  2 H 1.75
Se: 0.8237 0.6763 0.5000  2 H 1.75

Values from the calculation:
Its volume is 15.48 A^3/atom. The space group is P4/mbm (127). As for the total magnetic moment: 0.00 Bohr magnetons per cell.

In meV/atom, relative to the most stable structure: version a 165; version b 0.

Version a
A plane-wave DFT calculation with PBE was carried out for a relaxed HPtSe3 crystal.

a b c (Å): 4.2820 4.2820 4.2820
angles (deg): 90.00 90.00 90.00
Closest atoms and distances in Å follow each position.
Fractional coordinates of all 5 atoms:
H: 0.0000 0.0000 0.0000  6 Se 2.14
Pt: 0.5000 0.5000 0.5000  12 Se 3.03
Se: 0.0000 0.0000 0.5000  2 H 2.14
Se: 0.0000 0.5000 0.0000  2 H 2.14
Se: 0.5000 0.0000 0.0000  2 H 2.14

Values from the calculation:
Its volume is 15.70 A^3/atom. The space group is Pm-3m (221). As for the total magnetic moment: 0.00 Bohr magnetons per cell.

Version b
A plane-wave DFT calculation with PBE was carried out for a relaxed HPtSe3 crystal.

a b c (Å): 5.0348 5.0348 5.0348
angles (deg): 90.00 90.00 90.00
Closest atoms and distances in Å follow each position.
Fractional coordinates of all 5 atoms:
H: 0.0000 0.0000 0.0000  12 Se 3.56
Pt: 0.5000 0.5000 0.5000  6 Se 2.52
Se: 0.0000 0.5000 0.5000  2 Pt 2.52
Se: 0.5000 0.0000 0.5000  2 Pt 2.52
Se: 0.5000 0.5000 0.0000  2 Pt 2.52

Values from the calculation:
Its volume is 25.53 A^3/atom. The space group is Pm-3m (221). As for the total magnetic moment: 2.93 Bohr magnetons per cell.

In meV/atom, relative to the most stable structure: version a 0; version b 61.

Version a
A plane-wave DFT calculation with PBE was carried out for a relaxed HPtSe crystal.

a b c (Å): 2.7945 2.7945 5.1940
angles (deg): 90.00 90.00 90.00
Closest atoms and distances in Å follow each position.
Fractional coordinates of all 3 atoms:
H: 0.0000 0.0000 0.0000  4 Pt 1.98
Pt: 0.5000 0.5000 0.0000  4 H 1.98
Se: 0.5000 0.5000 0.5000  2 Pt 2.60, 4 Se 2.79

Values from the calculation:
Its volume is 13.52 A^3/atom. The space group is P4/mmm (123). As for the total magnetic moment: 0.00 Bohr magnetons per cell.

Version b
A plane-wave DFT calculation with PBE was carried out for a relaxed HPtSe crystal.

a b c (Å): 8.3149 8.3149 8.3149
angles (deg): 98.54 98.54 134.66
Closest atoms and distances in Å follow each position.
Fractional coordinates of all 24 atoms:
H: 0.1781 0.1551 0.2414  2 Pt 1.68-1.78
H: 0.3449 0.0862 0.0229  2 Pt 1.68-1.78
H: 0.4138 0.9367 0.2586  2 Pt 1.68-1.78
H: 0.4367 0.6781 0.5229  2 Pt 1.68-1.78
H: 0.5633 0.3219 0.4771  2 Pt 1.68-1.78
H: 0.5862 0.0633 0.7414  2 Pt 1.68-1.78
H: 0.6551 0.9138 0.9771  2 Pt 1.68-1.78
H: 0.8219 0.8449 0.7586  2 Pt 1.68-1.78
Pt: 0.2390 0.2095 0.0608  2 H 1.68-1.78
Pt: 0.2905 0.8514 0.0295  2 H 1.68-1.78
Pt: 0.3219 0.2610 0.4705  2 H 1.68-1.78
Pt: 0.3514 0.8219 0.5608  2 H 1.68-1.78
Pt: 0.6486 0.1781 0.4392  2 H 1.68-1.78
Pt: 0.6781 0.7390 0.5295  2 H 1.68-1.78
Pt: 0.7095 0.1486 0.9705  2 H 1.68-1.78
Pt: 0.7610 0.7905 0.9392  2 H 1.68-1.78
Se: 0.0596 0.8475 0.4843  3 Pt 2.50-2.73
Se: 0.0753 0.5596 0.7121  3 Pt 2.50-2.73
Se: 0.1368 0.4247 0.9843  3 Pt 2.50-2.73
Se: 0.3475 0.3632 0.7879  3 Pt 2.50-2.73
Se: 0.6525 0.6368 0.2121  3 Pt 2.50-2.73
Se: 0.8632 0.5753 0.0157  3 Pt 2.50-2.73
Se: 0.9247 0.4404 0.2879  3 Pt 2.50-2.73
Se: 0.9404 0.1525 0.5157  3 Pt 2.50-2.73

Values from the calculation:
Its volume is 15.72 A^3/atom. The space group is I4_1/a (88). As for the total magnetic moment: 0.00 Bohr magnetons per cell.

In meV/atom, relative to the most stable structure: version a 0; version b 90.

Version a
A plane-wave DFT calculation with PBE was carried out for a relaxed H2PtSe crystal.

a b c (Å): 5.4982 5.4982 5.4982
angles (deg): 90.00 90.00 90.00
Closest atoms and distances in Å follow each position.
Fractional coordinates of all 16 atoms:
H: 0.2500 0.2500 0.2500  4 Se 2.38, 4 Pt 2.38
H: 0.2500 0.2500 0.7500  4 Se 2.38, 4 Pt 2.38
H: 0.2500 0.7500 0.2500  4 Se 2.38, 4 Pt 2.38
H: 0.2500 0.7500 0.7500  4 Se 2.38, 4 Pt 2.38
H: 0.7500 0.2500 0.2500  4 Se 2.38, 4 Pt 2.38
H: 0.7500 0.2500 0.7500  4 Se 2.38, 4 Pt 2.38
H: 0.7500 0.7500 0.2500  4 Se 2.38, 4 Pt 2.38
H: 0.7500 0.7500 0.7500  4 Se 2.38, 4 Pt 2.38
Pt: 0.0000 0.0000 0.0000  8 H 2.38
Pt: 0.0000 0.5000 0.5000  8 H 2.38
Pt: 0.5000 0.0000 0.5000  8 H 2.38
Pt: 0.5000 0.5000 0.0000  8 H 2.38
Se: 0.0000 0.0000 0.5000  8 H 2.38
Se: 0.0000 0.5000 0.0000  8 H 2.38
Se: 0.5000 0.0000 0.0000  8 H 2.38
Se: 0.5000 0.5000 0.5000  8 H 2.38

Values from the calculation:
Its volume is 10.39 A^3/atom. The space group is Fm-3m (225). As for the total magnetic moment: 0.00 Bohr magnetons per cell.

Version b
A plane-wave DFT calculation with PBE was carried out for a relaxed H2PtSe crystal.

a b c (Å): 5.1380 5.1380 7.3674
angles (deg): 90.00 90.00 90.00
Closest atoms and distances in Å follow each position.
Fractional coordinates of all 16 atoms:
H: 0.1179 0.2500 0.1250  2 Pt 1.69
H: 0.2500 0.6179 0.3750  2 Pt 1.69
H: 0.2500 0.8821 0.8750  2 Pt 1.69
H: 0.3821 0.2500 0.6250  2 Pt 1.69
H: 0.6179 0.7500 0.6250  2 Pt 1.69
H: 0.7500 0.1179 0.8750  2 Pt 1.69
H: 0.7500 0.3821 0.3750  2 Pt 1.69
H: 0.8821 0.7500 0.1250  2 Pt 1.69
Pt: 0.0000 0.0000 0.0000  4 H 1.69
Pt: 0.0000 0.5000 0.2500  4 H 1.69
Pt: 0.5000 0.0000 0.7500  4 H 1.69
Pt: 0.5000 0.5000 0.5000  4 H 1.69
Se: 0.0000 0.0000 0.5000  4 H 2.52
Se: 0.0000 0.5000 0.7500  4 H 2.52
Se: 0.5000 0.0000 0.2500  4 H 2.52
Se: 0.5000 0.5000 0.0000  4 H 2.52

Values from the calculation:
Its volume is 12.16 A^3/atom. The space group is I-42d (122). As for the total magnetic moment: 0.00 Bohr magnetons per cell.

In meV/atom, relative to the most stable structure: version a 416; version b 0.

Version a
A plane-wave DFT calculation with PBE was carried out for a relaxed Si2HPt2 crystal.

a b c (Å): 3.8643 3.8643 10.9458
angles (deg): 90.00 90.00 90.00
Closest atoms and distances in Å follow each position.
Fractional coordinates of all 10 atoms:
Si: 0.0000 0.5000 0.2500  4 Pt 2.38
Si: 0.0000 0.5000 0.7500  4 Pt 2.38
Si: 0.5000 0.0000 0.2500  4 Pt 2.38
Si: 0.5000 0.0000 0.7500  4 Pt 2.38
H: 0.0000 0.0000 0.0000  8 Pt 3.04, 8 Si 3.35
H: 0.5000 0.5000 0.5000  8 Pt 3.04, 8 Si 3.35
Pt: 0.0000 0.0000 0.3774  4 Si 2.38
Pt: 0.0000 0.0000 0.6226  4 Si 2.38
Pt: 0.5000 0.5000 0.1226  4 Si 2.38
Pt: 0.5000 0.5000 0.8774  4 Si 2.38

Values from the calculation:
Its volume is 16.34 A^3/atom. The space group is I4/mmm (139). As for the total magnetic moment: 0.77 Bohr magnetons per cell.

Version b
A plane-wave DFT calculation with PBE was carried out for a relaxed Si2HPt2 crystal.

a b c (Å): 7.1173 7.1173 2.8354
angles (deg): 90.00 90.00 90.00
Closest atoms and distances in Å follow each position.
Fractional coordinates of all 10 atoms:
Si: 0.1506 0.3494 0.0000  6 Pt 2.49-2.55
Si: 0.3494 0.8494 0.0000  6 Pt 2.49-2.55
Si: 0.6506 0.1506 0.0000  6 Pt 2.49-2.55
Si: 0.8494 0.6506 0.0000  6 Pt 2.49-2.55
H: 0.0000 0.0000 0.5000  4 Pt 2.72, 2 H 2.84
H: 0.5000 0.5000 0.5000  4 Pt 2.72, 2 H 2.84
Pt: 0.1464 0.6464 0.5000  6 Si 2.49-2.55, 2 H 2.72
Pt: 0.3536 0.1464 0.5000  6 Si 2.49-2.55, 2 H 2.72
Pt: 0.6464 0.8536 0.5000  6 Si 2.49-2.55, 2 H 2.72
Pt: 0.8536 0.3536 0.5000  6 Si 2.49-2.55, 2 H 2.72

Values from the calculation:
Its volume is 14.36 A^3/atom. The space group is P4/mbm (127). As for the total magnetic moment: 0.00 Bohr magnetons per cell.

In meV/atom, relative to the most stable structure: version a 89; version b 0.